First-principles (PBE) data for crystalline HfTiVRe at its relaxed geometry, as listed in Alexandria.

```
4
Lattice="4.558 0.000 0.000 2.279 3.947 0.000 2.279 1.316 3.721" Properties=species:S:1:pos:R:3 pbc="T T T"
Hf 0.000 0.000 0.000
Re 2.279 1.316 0.930
Ti 4.558 2.631 1.861
V 6.836 3.947 2.791
```

=====

First-principles (PBE) data for crystalline HfTiReW at its relaxed geometry, as listed in Alexandria.

```
4
Lattice="-0.828 0.403 2.745 -4.294 -0.415 -1.234 0.579 -5.295 -0.233" Properties=species:S:1:pos:R:3 pbc="T T T"
Ti -0.407 -0.764 1.674
Re -2.224 -2.366 0.379
Hf -2.360 -4.797 1.667
W 0.238 -3.453 0.333
```

=====

First-principles (PBE) data for crystalline HfTiReW at its relaxed geometry, as listed in Alexandria.

```
4
Lattice="-2.686 -0.026 0.949 -0.747 -0.651 -5.180 2.002 -4.179 2.584" Properties=species:S:1:pos:R:3 pbc="T T T"
Re 0.628 -2.415 -1.298
W 0.000 0.000 0.000
Hf -0.342 -2.103 1.767
Ti -1.716 -0.339 -2.115
```

=====

First-principles (PBE) data for crystalline HfTiReW at its relaxed geometry, as listed in Alexandria.

```
4
Lattice="-2.456 -2.024 0.478 0.877 -0.336 3.079 -3.806 5.004 1.630" Properties=species:S:1:pos:R:3 pbc="T T T"
Hf -3.783 2.756 3.061
Re -0.166 0.218 0.071
Ti -1.822 0.177 2.221
W -1.956 2.571 0.838
```

=====

First-principles (PBE) data for crystalline HfTiReW at its relaxed geometry, as listed in Alexandria.

```
8
Lattice="-0.827 -2.189 2.205 3.706 -2.452 -1.044 4.852 4.609 6.396" Properties=species:S:1:pos:R:3 pbc="T T T"
W 2.669 -0.451 0.553
Re 4.345 4.128 5.728
W 2.828 1.985 5.376
Hf 4.998 1.762 3.623
Re 3.359 -0.497 3.110
Hf 0.305 -0.412 2.050
Ti 5.881 1.899 6.435
Ti 2.016 1.915 2.657
```

=====

First-principles (PBE) data for crystalline HfTiReW at its relaxed geometry, as listed in Alexandria.

```
4
Lattice="-1.397 -0.827 -4.177 -3.752 -2.182 1.687 -1.621 2.780 -0.008" Properties=species:S:1:pos:R:3 pbc="T T T"
W -3.385 -0.114 -1.249
Re -0.699 -0.413 -2.089
Ti -1.876 -1.091 0.843
Hf -0.810 1.390 -0.004
```

=====

First-principles (PBE) data for crystalline HfTiReW at its relaxed geometry, as listed in Alexandria.

```
8
Lattice="-2.441 1.438 -1.492 -2.867 -3.103 1.700 -1.397 5.386 7.475" Properties=species:S:1:pos:R:3 pbc="T T T"
Ti -3.472 2.320 4.479
W -0.858 3.308 4.590
Re -2.398 5.258 5.553
Hf -2.626 3.045 7.229
Re -1.912 0.295 3.412
Ti -0.119 0.459 0.637
Hf -1.714 2.622 1.895
W -2.813 -0.218 0.957
```

=====

First-principles (PBE) data for crystalline HfTiReW at its relaxed geometry, as listed in Alexandria.

```
4
Lattice="-1.461 -2.377 1.459 2.759 -0.992 1.147 -0.894 3.980 5.590" Properties=species:S:1:pos:R:3 pbc="T T T"
Re 0.147 0.551 4.443
Hf 0.586 -1.404 1.697
Ti -0.707 3.151 4.425
W -0.308 1.372 1.927
```

=====

Table of total DFT energy (no corrections) (eV/atom), in record order: -9.9952; -10.9052; -10.8650; -10.9060; -10.9737; -10.9135; -11.0074; -10.9212
Table of size of the total moment (μB/f.u.), in record order: 2.483; 0.000; 0.000; 0.000; 0.000; 0.000; 0.000; 0.000